VASP calculation (PBE+U) on a relaxed LaZnCrCoO6 crystal.

Properties
As for the total energy: -66.24 eV per formula unit.

Cell lengths 5.3251, 5.2605, 9.3043 Å; angles 55.58, 90.00, 90.00 degrees
Each line ends with the local moment (μB).
Fractional positions:
La  0.7153  0.2455  0.7505  0.00
La  0.2847  0.2455  0.2505  0.00
Zn  0.2134  0.7583  0.7558  0.00
Zn  0.7866  0.7583  0.2558  0.00
Cr  0.7596  0.0062  0.5013  2.27
Cr  0.2404  0.0062  0.0013  2.27
Co  0.7540  0.5046  0.9982  0.02
Co  0.2460  0.5046  0.4982  0.02
O  0.1966  0.6756  0.2528  -0.02
O  0.9826  0.8256  0.9468  -0.07
O  0.9771  0.2257  0.5484  -0.10
O  0.4510  0.7470  0.9448  -0.04
O  0.4500  0.1356  0.5540  -0.07
O  0.7336  0.3760  0.2474  -0.02
O  0.8034  0.6756  0.7528  -0.02
O  0.0174  0.8256  0.4468  -0.07
O  0.0229  0.2257  0.0484  -0.10
O  0.5490  0.7470  0.4448  -0.04
O  0.5500  0.1356  0.0540  -0.07
O  0.2664  0.3760  0.7474  -0.02